Computed, not measured: a relaxed ZnAgPS2 crystal at the PBE level of DFT. Values from VASP.

Quantum ESPRESSO input file:
```
&SYSTEM
  ibrav = 0, nat = 5, ntyp = 4
/
ATOMIC_SPECIES
Zn 65.41 Zn.upf
Ag 107.87 Ag.upf
P 30.97 P.upf
S 32.06 S.upf
CELL_PARAMETERS angstrom
4.8985 0.0000 0.0000
0.0000 4.8985 0.0000
0.0000 0.0000 4.7371
ATOMIC_POSITIONS crystal
Zn 0.0000 0.0000 0.0000
Ag 0.5000 0.5000 0.5000
P 0.5000 0.5000 0.0000
S 0.0000 0.5000 0.5000
S 0.5000 0.0000 0.5000
```

Computed properties:
Final energy: -2.5711 eV per atom
Space-group type: No. 123

---

Computed, not measured: a relaxed NbNi2GeH crystal at the PBE level of DFT. Values from VASP.

Quantum ESPRESSO input file:
```
&SYSTEM
  ibrav = 0, nat = 5, ntyp = 4
/
ATOMIC_SPECIES
Nb 92.91 Nb.upf
Ni 58.69 Ni.upf
Ge 72.64 Ge.upf
H 1.01 H.upf
CELL_PARAMETERS angstrom
4.2744 0.0000 0.0000
0.0000 4.2744 0.0000
0.0000 0.0000 4.9380
ATOMIC_POSITIONS crystal
Nb 0.0000 0.0000 0.0000
Ni 0.0000 0.5000 0.5000
Ni 0.5000 0.0000 0.5000
Ge 0.0000 0.0000 0.5000
H 0.5000 0.5000 0.0000
```

Computed properties:
Final energy: -4.6638 eV per atom
Space-group type: No. 123